(1)
CuSiRh2: optimized geometry, PBE-GGA.

Cell and atoms, written as CIF:
```
data_CuSiRh2
_chemical_formula_sum 'Cu1 Si1 Rh2'
_symmetry_space_group_name_H-M 'P 1'
_symmetry_Int_Tables_number 1
_symmetry_space_group_name_Hall 'P 1'
_cell_length_a 4.204
_cell_length_b 4.205
_cell_length_c 2.932
_cell_angle_alpha 90.00
_cell_angle_beta 90.00
_cell_angle_gamma 90.02
loop_
_atom_site_label
_atom_site_type_symbol
_atom_site_fract_x
_atom_site_fract_y
_atom_site_fract_z
Si1 Si 0.500 0.000 0.500
Rh1 Rh 0.000 0.000 0.000
Rh2 Rh 0.500 0.500 0.000
Cu1 Cu 0.000 0.500 0.500
```

Values from the calculation:
Raw total energy   -6.51 eV/atom



(2)
RbReSeBr2: optimized geometry, PBE-GGA.

Cell and atoms, written as CIF:
```
data_RbReSeBr2
_chemical_formula_sum 'Rb1 Re1 Se1 Br2'
_symmetry_space_group_name_H-M 'P 1'
_symmetry_Int_Tables_number 1
_symmetry_space_group_name_Hall 'P 1'
_cell_length_a 6.290
_cell_length_b 6.290
_cell_length_c 6.158
_cell_angle_alpha 90.00
_cell_angle_beta 90.00
_cell_angle_gamma 90.00
loop_
_atom_site_label
_atom_site_type_symbol
_atom_site_fract_x
_atom_site_fract_y
_atom_site_fract_z
Re1 Re 0.500 0.500 0.500
Se1 Se 0.000 0.000 0.500
Br1 Br 0.000 0.500 0.000
Br2 Br 0.500 0.000 0.000
Rb1 Rb 0.000 0.000 0.000
```

Values from the calculation:
Distance to the lowest polymorph of the same formula   1.622 eV/atom



(3)
LaTaPt2C: optimized geometry, PBE-GGA.

Cell and atoms, written as CIF:
```
data_LaTaPt2C
_chemical_formula_sum 'La1 Ta1 Pt2 C1'
_symmetry_space_group_name_H-M 'P 1'
_symmetry_Int_Tables_number 1
_symmetry_space_group_name_Hall 'P 1'
_cell_length_a 5.149
_cell_length_b 4.182
_cell_length_c 5.149
_cell_angle_alpha 90.00
_cell_angle_beta 90.00
_cell_angle_gamma 90.00
loop_
_atom_site_label
_atom_site_type_symbol
_atom_site_fract_x
_atom_site_fract_y
_atom_site_fract_z
C1 C 0.000 0.500 0.000
La1 La 0.000 0.000 0.000
Pt1 Pt 0.000 0.000 0.500
Pt2 Pt 0.500 0.000 0.000
Ta1 Ta 0.500 0.500 0.500
```

Values from the calculation:
Energy of formation   1.88 eV per atom



- Number 1 is which compound?
  CuSiRh2



Copy entry 3 word for word.
LaTaPt2C: optimized geometry, PBE-GGA.

Cell and atoms, written as CIF:
```
data_LaTaPt2C
_chemical_formula_sum 'La1 Ta1 Pt2 C1'
_symmetry_space_group_name_H-M 'P 1'
_symmetry_Int_Tables_number 1
_symmetry_space_group_name_Hall 'P 1'
_cell_length_a 5.149
_cell_length_b 4.182
_cell_length_c 5.149
_cell_angle_alpha 90.00
_cell_angle_beta 90.00
_cell_angle_gamma 90.00
loop_
_atom_site_label
_atom_site_type_symbol
_atom_site_fract_x
_atom_site_fract_y
_atom_site_fract_z
C1 C 0.000 0.500 0.000
La1 La 0.000 0.000 0.000
Pt1 Pt 0.000 0.000 0.500
Pt2 Pt 0.500 0.000 0.000
Ta1 Ta 0.500 0.500 0.500
```

Values from the calculation:
Energy of formation   1.88 eV per atom